No. 1
VASP calculation (PBE) on crystalline ReIrAu at its relaxed geometry.

abc: 2.7917 2.7917 7.0005
angles: 90.00 90.00 120.00
Last column: nearest neighbours and their distance in Å.
Fractional coordinates of all 3 atoms:
Au 0.0000 0.0000 0.9978  6 Au 2.79, 3 Re 2.92, 3 Ir 2.96
Ir 0.3333 0.6667 0.3518  3 Re 2.64, 6 Ir 2.79, 3 Au 2.96
Re 0.6667 0.3333 0.6505  3 Ir 2.64, 6 Re 2.79, 3 Au 2.92

Properties
Energy relative to the elements in eV/atom: 0.157
ΔE to the lowest computed polymorph in meV per atom: 21
SG: P3m1, No. 156

***

No. 2
VASP calculation (PBE) on crystalline BaPaBO5 at its relaxed geometry.

abc: 5.8297 5.8297 7.9114
angles: 103.37 103.37 106.53
Last column: nearest neighbours and their distance in Å.
Fractional coordinates of all 16 atoms:
Ba 0.3471 0.6529 0.2500  5 O 2.54-2.78
Ba 0.6529 0.3471 0.7500  5 O 2.54-2.78
Pa 0.0000 0.0000 0.5000  6 O 2.10-2.27
Pa 0.0000 0.0000 0.0000  6 O 2.10-2.27
B 0.6888 0.3112 0.2500  4 O 1.52-1.55
B 0.3112 0.6888 0.7500  4 O 1.52-1.55
O 0.0755 0.9245 0.2500  2 Pa 2.10
O 0.9245 0.0755 0.7500  2 Pa 2.10
O 0.8638 0.2910 0.1318  1 B 1.55
O 0.1362 0.7090 0.8682  1 B 1.55
O 0.7090 0.1362 0.3682  1 B 1.55
O 0.2910 0.8638 0.6318  1 B 1.55
O 0.7695 0.5811 0.3749  1 B 1.52
O 0.2305 0.4189 0.6251  1 B 1.52
O 0.4189 0.2305 0.1251  1 B 1.52
O 0.5811 0.7695 0.8749  1 B 1.52

Properties
Uncorrected formation energy in eV per atom: -2.95
SG: C2/c, No. 15

***

No. 3
VASP calculation (PBE) on crystalline Ba3TaP4 at its relaxed geometry.

abc: 8.9727 9.9442 10.6694
angles: 90.00 90.00 90.00
Last column: nearest neighbours and their distance in Å.
Fractional coordinates of all 32 atoms:
P 0.1285 0.9856 0.5463  1 Ta 2.44, 1 P 2.52
P 0.6285 0.5144 0.9537  1 Ta 2.44, 1 P 2.52
P 0.8715 0.0144 0.0463  1 Ta 2.44, 1 P 2.52
P 0.3715 0.4856 0.4537  1 Ta 2.44, 1 P 2.52
P 0.8715 0.0144 0.4537  1 Ta 2.44, 1 P 2.52
P 0.3715 0.4856 0.0463  1 Ta 2.44, 1 P 2.52
P 0.1285 0.9856 0.9537  1 Ta 2.44, 1 P 2.52
P 0.6285 0.5144 0.5463  1 Ta 2.44, 1 P 2.52
P 0.2963 0.2562 0.7500  1 Ta 2.35
P 0.7963 0.2438 0.7500  1 Ta 2.35
P 0.7037 0.7438 0.2500  1 Ta 2.35
P 0.2037 0.7562 0.2500  1 Ta 2.35
P 0.4810 0.9158 0.7500  1 Ta 2.38
P 0.9810 0.5843 0.7500  1 Ta 2.38
P 0.5190 0.0842 0.2500  1 Ta 2.38
P 0.0190 0.4158 0.2500  1 Ta 2.38
Ba 0.3461 0.5766 0.7500  7 P 3.22-3.58
Ba 0.8461 0.9234 0.7500  7 P 3.22-3.58
Ba 0.6539 0.4234 0.2500  7 P 3.22-3.58
Ba 0.1539 0.0766 0.2500  7 P 3.22-3.58
Ba 0.4518 0.8074 0.0454  5 P 3.16-3.46
Ba 0.9518 0.6926 0.4546  5 P 3.16-3.46
Ba 0.5482 0.1926 0.5454  5 P 3.16-3.46
Ba 0.0482 0.3074 0.9546  5 P 3.16-3.46
Ba 0.5482 0.1926 0.9546  5 P 3.16-3.46
Ba 0.0482 0.3074 0.5454  5 P 3.16-3.46
Ba 0.4518 0.8074 0.4546  5 P 3.16-3.46
Ba 0.9518 0.6926 0.0454  5 P 3.16-3.46
Ta 0.2448 0.0246 0.7500  4 P 2.35-2.44
Ta 0.7448 0.4754 0.7500  4 P 2.35-2.44
Ta 0.7552 0.9754 0.2500  4 P 2.35-2.44
Ta 0.2552 0.5246 0.2500  4 P 2.35-2.44

Properties
Energy relative to the elements in eV/atom: -0.931
SG: Pnma, No. 62

***

No. 4
VASP calculation (PBE) on crystalline CaLa2VCd at its relaxed geometry.

abc: 5.8452 4.9097 5.8452
angles: 90.00 90.00 90.00
Last column: nearest neighbours and their distance in Å.
Fractional coordinates of all 5 atoms:
V 0.0000 0.5000 0.0000  2 Ca 2.45
Cd 0.5000 0.5000 0.5000  8 La 3.82, 4 V 4.13
Ca 0.0000 0.0000 0.0000  2 V 2.45
La 0.0000 0.0000 0.5000  2 Ca 2.92
La 0.5000 0.0000 0.0000  2 Ca 2.92

Properties
Energy relative to the elements in eV/atom: 1.094
SG: P4/mmm, No. 123